TaTlRe2: optimized geometry, PBE.

```
TaTlRe2
1.0
0.000 3.263 3.263
3.263 0.000 3.263
3.263 3.263 0.000
Ta Tl Re
1 1 2
Cartesian
0.000 0.000 0.000
1.631 1.631 1.631
3.263 3.263 3.263
4.894 4.894 4.894
```

Results
density of states at the Fermi level	6.57	states/eV/f.u.
space group	F-43m (216)
formation enthalpy at 0 K	3.1	eV per formula unit
magnetization	0.006	μB per atom
energy above the most stable polymorph in this dataset	419	meV/atom
ρ	18.12	g cm⁻³

---

TaTlRe2: optimized geometry, PBE.

```
TaTlRe2
1.0
1.587 -2.395 0.000
1.587 2.395 0.000
0.000 0.000 9.386
Ta Tl Re
1 1 2
Cartesian
0.000 0.000 0.000
1.587 0.000 2.610
0.000 0.000 5.125
1.587 0.000 7.208
```

Results
density of states at the Fermi level	3.52	states/eV/f.u.
space group	Cmm2 (35)
formation enthalpy at 0 K	2.3	eV per formula unit
magnetization	0.000	μB per atom
energy above the most stable polymorph in this dataset	197	meV/atom
ρ	17.63	g cm⁻³

---

TaTlRe: optimized geometry, PBE.

```
TaTlRe
1.0
0.000 3.190 3.190
3.190 0.000 3.190
3.190 3.190 0.000
Ta Tl Re
1 1 1
Cartesian
0.000 0.000 0.000
3.190 3.190 3.190
1.595 1.595 1.595
```

Results
density of states at the Fermi level	3.72	states/eV/f.u.
space group	F-43m (216)
formation enthalpy at 0 K	2.7	eV per formula unit
magnetization	0.000	μB per atom
energy above the most stable polymorph in this dataset	399	meV/atom
ρ	14.62	g cm⁻³

---

> Which value of energy above the most stable polymorph in this dataset does entry 2 give?

197 meV/atom

---

Repeat the third record exactly.
TaTlRe: optimized geometry, PBE.

```
TaTlRe
1.0
0.000 3.190 3.190
3.190 0.000 3.190
3.190 3.190 0.000
Ta Tl Re
1 1 1
Cartesian
0.000 0.000 0.000
3.190 3.190 3.190
1.595 1.595 1.595
```

Results
density of states at the Fermi level	3.72	states/eV/f.u.
space group	F-43m (216)
formation enthalpy at 0 K	2.7	eV per formula unit
magnetization	0.000	μB per atom
energy above the most stable polymorph in this dataset	399	meV/atom
ρ	14.62	g cm⁻³